Here is a relaxed SbAsAu3 crystal from Alexandria via LeMat-Bulk. Energies are from PBE.

Structure (extended XYZ):
```
5
Lattice="5.231 0.000 0.000 0.000 5.231 0.000 0.000 0.000 5.231" Properties=species:S:1:pos:R:3 pbc="T T T"
As 2.615 2.615 2.615
Au 0.000 2.615 0.000
Au 0.000 0.000 2.615
Au 2.615 0.000 0.000
Sb 0.000 0.000 0.000
```

## Properties
The symmetry is No. 221. The value obtained for the formation energy without anion corrections is 75.5 kJ per mole of atoms. The calculation puts the size of the total moment at 0.519 μB/atom. The value obtained for the energy above the lowest structure with this stoichiometry is 304 meV/atom.